(1)
Computed, not measured: an optimized crystal structure of EuY2Cu at the PBE level of DFT.

Unit cell a=3.5506 b=3.5506 c=9.1161 alpha=90.00 beta=90.00 gamma=90.00
Last column: nearest neighbours and their distance in Å.
Element x y z (fractional)
Eu (0.0000, 0.0000, 0.0000)  4 Eu 3.55, 8 Y 3.83
Y (0.5000, 0.5000, 0.3168)  4 Cu 3.02, 1 Y 3.34
Y (0.5000, 0.5000, 0.6832)  4 Cu 3.02, 1 Y 3.34
Cu (0.0000, 0.0000, 0.5000)  8 Y 3.02

Results
Excess energy over the best structure of this formula in the dataset = 0 meV per atom
Raw total energy = -6.874 eV per atom
V = 114.93 Å³/f.u.
Theoretical density = 5.68 g/cm³

***

(2)
Computed, not measured: an optimized crystal structure of Eu2YCu at the PBE level of DFT.

Unit cell a=11.3410 b=11.3410 c=11.3410 alpha=18.58 beta=18.58 gamma=18.58
Last column: nearest neighbours and their distance in Å.
Element x y z (fractional)
Eu (0.1038, 0.1038, 0.1038)  3 Cu 2.98
Eu (0.8962, 0.8962, 0.8962)  3 Cu 2.98
Y (0.0000, 0.0000, 0.0000)  2 Eu 3.47, 6 Y 3.66
Cu (0.5000, 0.5000, 0.5000)  6 Eu 2.98

Results
Excess energy over the best structure of this formula in the dataset = 243 meV per atom
Raw total energy = -7.508 eV per atom
V = 129.40 Å³/f.u.
Theoretical density = 5.86 g/cm³

***

(3)
Computed, not measured: an optimized crystal structure of EuZn3Cu at the PBE level of DFT.

Unit cell a=4.6905 b=4.6905 c=4.6905 alpha=90.00 beta=90.00 gamma=90.00
Last column: nearest neighbours and their distance in Å.
Element x y z (fractional)
Eu (0.0000, 0.0000, 0.0000)  12 Zn 3.32
Zn (0.0000, 0.5000, 0.5000)  2 Cu 2.35
Zn (0.5000, 0.0000, 0.5000)  2 Cu 2.35
Zn (0.5000, 0.5000, 0.0000)  2 Cu 2.35
Cu (0.5000, 0.5000, 0.5000)  6 Zn 2.35

Results
Raw total energy = -3.735 eV per atom
V = 103.20 Å³/f.u.
Theoretical density = 6.63 g/cm³

***

(4)
Computed, not measured: an optimized crystal structure of EuZnCu2 at the PBE level of DFT.

Unit cell a=3.2801 b=3.2801 c=6.7207 alpha=90.00 beta=90.00 gamma=90.00
Last column: nearest neighbours and their distance in Å.
Element x y z (fractional)
Eu (0.0000, 0.0000, 0.0000)  8 Cu 3.14, 4 Eu 3.28, 2 Zn 3.36
Zn (0.0000, 0.0000, 0.5000)  8 Cu 2.63
Cu (0.5000, 0.5000, 0.3143)  1 Cu 2.50, 4 Zn 2.63
Cu (0.5000, 0.5000, 0.6857)  1 Cu 2.50, 4 Zn 2.63

Results
Raw total energy = -4.961 eV per atom
V = 72.31 Å³/f.u.
Theoretical density = 7.91 g/cm³

***

(5)
Computed, not measured: an optimized crystal structure of Cu2F5 at the PBE level of DFT.

Unit cell a=6.8038 b=6.8038 c=5.4544 alpha=101.60 beta=101.60 gamma=41.33
Last column: nearest neighbours and their distance in Å.
Element x y z (fractional)
Cu (0.1072, 0.6069, 0.7080)  5 F 1.88-2.01
Cu (0.3931, 0.8928, 0.7920)  5 F 1.88-2.01
Cu (0.6069, 0.1072, 0.2080)  5 F 1.88-2.01
Cu (0.8928, 0.3931, 0.2920)  5 F 1.88-2.01
F (0.1075, 0.8925, 0.7500)  2 Cu 1.91
F (0.1332, 0.2704, 0.6253)  3 Cu 2.01-2.12
F (0.2704, 0.1332, 0.1253)  3 Cu 2.01-2.12
F (0.3337, 0.4474, 0.0150)  2 Cu 1.88-1.91
F (0.4474, 0.3337, 0.5150)  2 Cu 1.88-1.91
F (0.5526, 0.6663, 0.4850)  2 Cu 1.88-1.91
F (0.6663, 0.5526, 0.9850)  2 Cu 1.88-1.91
F (0.7296, 0.8668, 0.8747)  3 Cu 2.01-2.12
F (0.8668, 0.7296, 0.3747)  3 Cu 2.01-2.12
F (0.8925, 0.1075, 0.2500)  2 Cu 1.91

Results
Formation energy (no corrections) = -1419 meV/atom
Raw total energy = -3.926 eV per atom
V = 81.42 Å³/f.u.
Theoretical density = 4.53 g/cm³

***

(6)
Computed, not measured: an optimized crystal structure of CuF at the PBE level of DFT.

Unit cell a=5.5045 b=5.5592 c=6.8390 alpha=90.00 beta=90.00 gamma=90.00
Last column: nearest neighbours and their distance in Å.
Element x y z (fractional)
Cu (0.2146, 0.0241, 0.2619)  2 F 1.91-1.92
Cu (0.2209, 0.4889, 0.3636)  2 F 1.91-1.92
Cu (0.2791, 0.5111, 0.8636)  2 F 1.91-1.92
Cu (0.2854, 0.9759, 0.7619)  2 F 1.91-1.92
Cu (0.7146, 0.4759, 0.7381)  2 F 1.91-1.92
Cu (0.7209, 0.0111, 0.6364)  2 F 1.91-1.92
Cu (0.7791, 0.9889, 0.1364)  2 F 1.91-1.92
Cu (0.7854, 0.5241, 0.2381)  2 F 1.91-1.92
F (0.1309, 0.4053, 0.6246)  2 Cu 1.91-1.92
F (0.1348, 0.9059, 0.5158)  2 Cu 1.91-1.92
F (0.3652, 0.0941, 0.0158)  2 Cu 1.91-1.92
F (0.3691, 0.5947, 0.1246)  2 Cu 1.91-1.92
F (0.6309, 0.0947, 0.3754)  2 Cu 1.91-1.92
F (0.6348, 0.5941, 0.4842)  2 Cu 1.91-1.92
F (0.8652, 0.4059, 0.9842)  2 Cu 1.91-1.92
F (0.8691, 0.9053, 0.8754)  2 Cu 1.91-1.92

Results
Formation energy (no corrections) = -989 meV/atom
Raw total energy = -3.973 eV per atom
V = 26.16 Å³/f.u.
Theoretical density = 5.24 g/cm³